A relaxed NaPr2AgTe4 crystal. Source: Alexandria, functional PBE-GGA.

**Crystal system**: monoclinic
**Uncorrected formation energy**: -1.078 eV/atom
**Size of the total moment**: 0.00 μB per cell
**Symmetry**: No. 10

Unit cell a=4.5577 b=7.7568 c=7.9041 alpha=69.19 beta=90.00 gamma=90.00
With the nearest neighbours (Å) after each atom.
Fractional coordinates of all 8 atoms:
Na: 0.0000 0.5000 0.5000  6 Te 3.18-3.24
Pr: 0.0000 0.0000 0.0000  6 Te 3.18-3.21
Pr: 0.5000 0.0000 0.5000  6 Te 3.21-3.24
Ag: 0.5000 0.5000 0.0000  6 Te 3.13-3.23
Te: 0.0000 0.7425 0.7597  2 Ag 3.13, 3 Pr 3.21-3.24, 1 Na 3.24
Te: 0.0000 0.2575 0.2403  2 Ag 3.13, 3 Pr 3.21-3.24, 1 Na 3.24
Te: 0.5000 0.7507 0.2506  3 Pr 3.18-3.21, 2 Na 3.18, 1 Ag 3.23
Te: 0.5000 0.2493 0.7494  3 Pr 3.18-3.21, 2 Na 3.18, 1 Ag 3.23